# TlHgTe2W

Crystalline TlHgTe2W at its relaxed geometry (PBE, Alexandria).

abc: 5.3275 5.5231 5.3275
angles: 90.00 90.00 90.00
Fractional coordinates of all 5 atoms:
1 Hg 0.0000 0.5000 0.0000
2 Te 0.5000 0.0000 0.0000
3 Te 0.0000 0.0000 0.5000
4 Tl 0.5000 0.5000 0.5000
5 W 0.0000 0.0000 0.0000

Properties
The value obtained for the formation energy from raw total energies is 0.348 eV/atom. The value obtained for the density of states at the Fermi level is 2.77 states/eV/cell.


# Zr3HgC

Crystalline Zr3HgC at its relaxed geometry (PBE, Alexandria).

abc: 4.5531 6.4279 7.3179
angles: 116.08 90.00 90.00
Fractional coordinates of all 10 atoms:
1 C 0.5932 0.2276 0.3360
2 Zr 0.5932 0.8602 0.0851
3 Hg 0.0933 0.7323 0.3459
4 Zr 0.5933 0.3449 0.0855
5 Zr 0.0932 0.2304 0.3421
6 Hg 0.0933 0.4728 0.8246
7 Zr 0.5933 0.6025 0.5853
8 Zr 0.0932 0.9747 0.8285
9 C 0.5932 0.9774 0.8346
10 Zr 0.5933 0.1025 0.5853

Properties
The value obtained for the density of states at the Fermi level is 5.92 states/eV/cell. The calculation puts the energy above the lowest structure with this stoichiometry at 51 meV/atom.


# PrZnCu3

Crystalline PrZnCu3 at its relaxed geometry (PBE, Alexandria).

abc: 4.5948 6.9721 6.0008
angles: 90.00 90.00 90.00
Fractional coordinates of all 10 atoms:
1 Zn 0.0000 0.5000 0.0000
2 Pr 0.5000 0.0000 0.0000
3 Pr 0.5000 0.5000 0.5000
4 Cu 0.0000 0.7500 0.2500
5 Cu 0.5000 0.5000 0.0000
6 Zn 0.0000 0.0000 0.5000
7 Cu 0.0000 0.2500 0.7500
8 Cu 0.5000 0.0000 0.5000
9 Cu 0.0000 0.7500 0.7500
10 Cu 0.0000 0.2500 0.2500

Properties
The value obtained for the density of states at the Fermi level is 6.79 states/eV/cell. The calculation puts the energy above the lowest structure with this stoichiometry at 238 meV/atom.


# Ta6TcOs

Crystalline Ta6TcOs at its relaxed geometry (PBE, Alexandria).

abc: 4.5610 4.5610 7.3306
angles: 71.87 71.87 90.00
Fractional coordinates of all 8 atoms:
1 Ta 0.1208 0.6208 0.7584
2 Os 0.5000 0.5000 0.0000
3 Ta 0.7503 0.7503 0.4994
4 Ta 0.8792 0.3792 0.2416
5 Ta 0.6208 0.1208 0.7584
6 Ta 0.2497 0.2497 0.5006
7 Ta 0.3792 0.8792 0.2416
8 Tc 0.0000 0.0000 0.0000

Properties
The value obtained for the density of states at the Fermi level is 4.13 states/eV/cell.


# KReH4

Crystalline KReH4 at its relaxed geometry (PBE, Alexandria).

abc: 4.3646 6.0325 7.0374
angles: 115.38 106.52 90.00
Fractional coordinates of all 12 atoms:
1 Re 0.2060 0.4505 0.9009
2 K 0.2717 0.1740 0.3480
3 H 0.7122 0.8438 0.2395
4 H 0.0000 0.7276 0.0000
5 H 0.7122 0.3956 0.2395
6 H 0.0681 0.6812 0.3625
7 H 0.0000 0.2724 0.0000
8 K 0.7283 0.8260 0.6520
9 Re 0.7940 0.5495 0.0991
10 H 0.2878 0.1562 0.7605
11 H 0.2878 0.6044 0.7605
12 H 0.9319 0.3188 0.6375

Properties
The value obtained for the density of states at the Fermi level is 0.98 states/eV/cell.


# LaHo4Se6

Crystalline LaHo4Se6 at its relaxed geometry (PBE, Alexandria).

abc: 4.0596 6.9775 20.7138
angles: 90.00 90.00 106.91
Fractional coordinates of all 22 atoms:
1 Se 0.9534 0.9067 0.6633
2 Ho 0.1409 0.2818 0.0380
3 Se 0.0466 0.0933 0.3367
4 Se 0.6791 0.3582 0.7500
5 Se 0.2335 0.4670 0.5908
6 Se 0.9534 0.9067 0.8367
7 Se 0.7665 0.5330 0.0908
8 Se 0.2335 0.4670 0.9092
9 Ho 0.5921 0.1841 0.6248
10 Se 0.0466 0.0933 0.1633
11 La 0.6560 0.3120 0.2500
12 Ho 0.1409 0.2818 0.4620
13 Se 0.3209 0.6418 0.2500
14 Ho 0.4079 0.8159 0.1248
15 Se 0.7665 0.5330 0.4092
16 Ho 0.8591 0.7182 0.9620
17 Ho 0.8591 0.7182 0.5380
18 Se 0.5000 0.0000 0.5000
19 Se 0.5000 0.0000 0.0000
20 Ho 0.4079 0.8159 0.3752
21 La 0.3440 0.6880 0.7500
22 Ho 0.5921 0.1841 0.8752

Properties
The value obtained for the formation energy from raw total energies is -1.862 eV/atom. The value obtained for the density of states at the Fermi level is 6.94 states/eV/cell.


# LiTl2CdBr6

Crystalline LiTl2CdBr6 at its relaxed geometry (PBE, Alexandria).

abc: 7.5238 7.5227 7.8667
angles: 61.44 61.41 59.99
Fractional coordinates of all 10 atoms:
1 Br 0.4965 0.6525 0.7665
2 Br 0.0844 0.4968 0.7664
3 Li 0.3121 0.3114 0.0647
4 Br 0.1952 0.9533 0.2669
5 Br 0.6525 0.0847 0.7663
6 Tl 0.5174 0.5175 0.4478
7 Tl 0.0401 0.0404 0.8792
8 Br 0.5843 0.1951 0.2672
9 Cd 0.8256 0.8255 0.5231
10 Br 0.9534 0.5843 0.2670

Properties
The value obtained for the formation energy from raw total energies is -0.845 eV/atom. The value obtained for the density of states at the Fermi level is 6.71 states/eV/cell.


# CePrSn2

Crystalline CePrSn2 at its relaxed geometry (PBE, Alexandria).

abc: 4.5564 4.5564 7.7542
angles: 72.91 72.91 60.00
Fractional coordinates of all 4 atoms:
1 Pr 0.0000 0.0000 0.0000
2 Ce 0.5000 0.5000 0.5000
3 Sn 0.2459 0.2459 0.2623
4 Sn 0.7541 0.7541 0.7377

Properties
The value obtained for the density of states at the Fermi level is 5.29 states/eV/cell.


# Nb6As3C

Crystalline Nb6As3C at its relaxed geometry (PBE, Alexandria).

abc: 5.7455 7.8090 7.8090
angles: 96.47 90.00 90.00
Fractional coordinates of all 20 atoms:
1 Nb 0.1675 0.7600 0.2400
2 As 0.5275 0.9178 0.7190
3 Nb 0.1687 0.4056 0.9039
4 Nb 0.1770 0.3958 0.2730
5 Nb 0.6770 0.6042 0.7270
6 Nb 0.6687 0.5944 0.0961
7 Nb 0.7493 0.9726 0.0274
8 As 0.0275 0.0822 0.2810
9 Nb 0.6687 0.9039 0.4056
10 C 0.4873 0.8471 0.1529
11 As 0.3349 0.4118 0.5882
12 Nb 0.6770 0.2730 0.3958
13 As 0.8349 0.5882 0.4118
14 C 0.9873 0.1529 0.8471
15 Nb 0.2493 0.0274 0.9726
16 As 0.5275 0.2810 0.0822
17 Nb 0.6675 0.2400 0.7600
18 As 0.0275 0.7190 0.9178
19 Nb 0.1770 0.7270 0.6042
20 Nb 0.1687 0.0961 0.5944

Properties
The value obtained for the density of states at the Fermi level is 12.46 states/eV/cell.


# Cs2CuP

Crystalline Cs2CuP at its relaxed geometry (PBE, Alexandria).

abc: 6.1134 6.1134 6.1134
angles: 60.00 60.00 60.00
Fractional coordinates of all 4 atoms:
1 P 0.0000 0.0000 0.0000
2 Cs 0.7500 0.7500 0.7500
3 Cu 0.5000 0.5000 0.5000
4 Cs 0.2500 0.2500 0.2500

Properties
The value obtained for the density of states at the Fermi level is 4.84 states/eV/cell.


# AgMo2Ru

Crystalline AgMo2Ru at its relaxed geometry (PBE, Alexandria).

abc: 9.5745 9.5745 9.5745
angles: 16.71 16.71 16.71
Fractional coordinates of all 4 atoms:
1 Mo 0.9946 0.9946 0.9946
2 Ru 0.2500 0.2500 0.2500
3 Mo 0.5054 0.5054 0.5054
4 Ag 0.7500 0.7500 0.7500

Properties
The value obtained for the density of states at the Fermi level is 3.92 states/eV/cell. The calculation puts the energy above the lowest structure with this stoichiometry at 25 meV/atom.


# SiAgMo2

Crystalline SiAgMo2 at its relaxed geometry (PBE, Alexandria).

abc: 2.7025 4.1814 5.5808
angles: 90.00 90.00 90.00
Fractional coordinates of all 4 atoms:
1 Ag 0.5000 0.5000 0.7456
2 Mo 0.0000 0.0000 0.0076
3 Mo 0.5000 0.5000 0.2479
4 Si 0.0000 0.0000 0.4989

Properties
The value obtained for the formation energy from raw total energies is 0.367 eV/atom. The value obtained for the density of states at the Fermi level is 3.51 states/eV/cell.


# NdDy6Ho2

Crystalline NdDy6Ho2 at its relaxed geometry (PBE, Alexandria).

abc: 6.0639 7.4105 7.4105
angles: 60.01 90.01 90.01
Fractional coordinates of all 9 atoms:
1 Nd 0.0000 0.0000 0.0000
2 Dy 0.7044 0.1873 0.1873
3 Dy 0.2964 0.8130 0.3757
4 Dy 0.7036 0.1870 0.6243
5 Dy 0.7036 0.6243 0.1870
6 Dy 0.2956 0.8127 0.8127
7 Dy 0.2964 0.3757 0.8130
8 Ho 0.2122 0.3339 0.3339
9 Ho 0.7878 0.6661 0.6661

Properties
The value obtained for the density of states at the Fermi level is 13.81 states/eV/cell. The calculation puts the energy above the lowest structure with this stoichiometry at 215 meV/atom.


E list, top to bottom, in eV per atom: -4.0328 -7.4868 -3.5488 -11.8805 -4.4878 -5.8752 -2.6053 -5.1916 -8.6946 -2.2881 -8.1433 -7.1167 -4.3822